CeTmTlO2 | PBE | optimized geometry

The structure in CIF format:
```
data_CeTmTlO2
_chemical_formula_sum 'Ce2 Tm2 Tl2 O4'
_cell_length_a 3.904
_cell_length_b 3.904
_cell_length_c 13.338
_cell_angle_alpha 90.00
_cell_angle_beta 90.00
_cell_angle_gamma 90.00
_symmetry_space_group_name_H-M 'I 4 m m'
_symmetry_Int_Tables_number 107
_symmetry_space_group_name_Hall 'I 4 -2'
loop_
_atom_site_label
_atom_site_fract_x
_atom_site_fract_y
_atom_site_fract_z
Ce1 0.000 0.000 0.000
Tm1 0.000 0.000 0.670
Tl1 0.000 0.000 0.342
O1 0.000 0.500 0.092
```

## Properties
- ΔE_f (raw) (eV/atom) = -2.44

=====

Ba2Nd3Se6 | PBE | optimized geometry

The structure in CIF format:
```
data_Ba2Nd3Se6
_chemical_formula_sum 'Ba4 Nd6 Se12'
_cell_length_a 7.495
_cell_length_b 12.967
_cell_length_c 7.993
_cell_angle_alpha 90.00
_cell_angle_beta 108.10
_cell_angle_gamma 90.00
_symmetry_space_group_name_H-M 'C 1 2/m 1'
_symmetry_Int_Tables_number 12
loop_
_symmetry_equiv_pos_as_xyz
'x,y,z'
'-x,-y,-z'
'-x,y,-z'
'x,-y,z'
'x+1/2,y+1/2,z'
'-x+1/2,-y+1/2,-z'
'-x+1/2,y+1/2,-z'
'x+1/2,-y+1/2,z'
loop_
_atom_site_label
_atom_site_fract_x
_atom_site_fract_y
_atom_site_fract_z
Ba1 0.000 0.167 0.000
Nd1 0.000 0.000 0.500
Nd2 0.000 0.335 0.500
Se1 0.238 0.168 0.718
Se2 0.242 0.500 0.721
```

## Properties
- ΔE_f (raw) (eV/atom) = -1.94

=====

CeTi2Ir2 | PBE | optimized geometry

The structure in CIF format:
```
data_CeTi2Ir2
_chemical_formula_sum 'Ce2 Ti4 Ir4'
_cell_length_a 4.268
_cell_length_b 4.268
_cell_length_c 10.847
_cell_angle_alpha 90.00
_cell_angle_beta 90.00
_cell_angle_gamma 90.00
_symmetry_space_group_name_H-M 'I 4/m m m'
_symmetry_Int_Tables_number 139
_symmetry_space_group_name_Hall '-I 4 2'
loop_
_atom_site_label
_atom_site_fract_x
_atom_site_fract_y
_atom_site_fract_z
Ce1 0.000 0.000 0.000
Ti1 0.000 0.500 0.250
Ir1 0.000 0.000 0.378
```

## Properties
- ΔE_f (eV per atom) = -0.747

=====

Ni3BW | PBE | optimized geometry

The structure in CIF format:
```
data_Ni3BW
_chemical_formula_sum 'Ni3 B1 W1'
_cell_length_a 3.840
_cell_length_b 3.840
_cell_length_c 3.840
_cell_angle_alpha 90.00
_cell_angle_beta 90.00
_cell_angle_gamma 90.00
_symmetry_space_group_name_H-M 'P m -3 m'
_symmetry_Int_Tables_number 221
_symmetry_space_group_name_Hall '-P 4 2 3'
loop_
_atom_site_label
_atom_site_fract_x
_atom_site_fract_y
_atom_site_fract_z
Ni1 0.000 0.000 0.500
B1 0.000 0.000 0.000
W1 0.500 0.500 0.500
```

## Properties
- ΔE_f (eV per atom) = 0.283
- distance to the lowest polymorph of the same formula (meV per atom) = 0

=====

Copy entry 3 word for word.
CeTi2Ir2 | PBE | optimized geometry

The structure in CIF format:
```
data_CeTi2Ir2
_chemical_formula_sum 'Ce2 Ti4 Ir4'
_cell_length_a 4.268
_cell_length_b 4.268
_cell_length_c 10.847
_cell_angle_alpha 90.00
_cell_angle_beta 90.00
_cell_angle_gamma 90.00
_symmetry_space_group_name_H-M 'I 4/m m m'
_symmetry_Int_Tables_number 139
_symmetry_space_group_name_Hall '-I 4 2'
loop_
_atom_site_label
_atom_site_fract_x
_atom_site_fract_y
_atom_site_fract_z
Ce1 0.000 0.000 0.000
Ti1 0.000 0.500 0.250
Ir1 0.000 0.000 0.378
```

## Properties
- ΔE_f (eV per atom) = -0.747